Here is a geometry-optimized AgPdRhO6 structure from the Alexandria database. Energies are from PBE.

Computed properties:
Theoretical density   6.339 g cm⁻³
Fermi-level density of states   0.73 states/eV/atom
Electronic total energy   -5.27 eV/atom

Cell lengths 5.2256, 5.2256, 9.1545 Å; angles 90.00, 90.00, 120.00 degrees
Space group P-31c (No. 163)
One atom of each set of equivalent atoms:
Ag: 0.0000 0.0000 0.0000 [2 per cell]
Pd: 0.3333 0.6667 0.2500 [2 per cell]
Rh: 0.3333 0.6667 0.7500 [2 per cell]
O: 0.0062 0.3716 0.6306 [12 per cell]